[1]
An optimized crystal structure of HfCrGeC2. Source: the Alexandria database, functional PBE.

```
5
Lattice="-1.271 -1.568 -3.681 2.508 -4.203 0.924 -3.397 -1.617 1.861" Properties=species:S:1:pos:R:3 pbc="T T T"
Cr 1.254 -2.102 0.462
Ge -1.080 -3.694 -0.448
Hf 0.000 0.000 0.000
C -1.699 -0.809 0.931
C -0.635 -0.784 -1.840
```

Values from the calculation:
Calculated density (kg/m3): 6189
Energy relative to the elements (meV per atom): 2124
E (eV per atom): -6.405

[2]
An optimized crystal structure of CrGeIr2C. Source: the Alexandria database, functional PBE.

```
5
Lattice="4.473 0.000 0.000 0.000 4.506 0.000 0.000 0.000 4.473" Properties=species:S:1:pos:R:3 pbc="T T T"
Cr 0.000 0.000 0.000
Ge 0.000 2.253 0.000
Ir 0.000 0.000 2.237
Ir 2.237 0.000 0.000
C 2.237 2.253 2.237
```

Values from the calculation:
Calculated density (kg/m3): 9596
Energy relative to the elements (meV per atom): 2253
E (eV per atom): -5.984

[3]
An optimized crystal structure of La2CrGeC. Source: the Alexandria database, functional PBE.

```
5
Lattice="5.216 0.000 0.000 0.000 3.996 0.000 0.000 0.000 5.216" Properties=species:S:1:pos:R:3 pbc="T T T"
Cr 2.608 1.998 2.608
Ge 0.000 1.998 0.000
C 0.000 0.000 0.000
La 0.000 0.000 2.608
La 2.608 0.000 0.000
```

Values from the calculation:
Calculated density (kg/m3): 6330
Energy relative to the elements (meV per atom): 552
E (eV per atom): -6.112

[4]
An optimized crystal structure of MgCr2GeC. Source: the Alexandria database, functional PBE.

```
5
Lattice="-3.640 -2.778 0.987 2.989 -3.108 2.273 -0.666 2.303 4.024" Properties=species:S:1:pos:R:3 pbc="T T T"
C -0.658 -1.792 3.642
Cr -0.333 1.151 2.012
Cr -1.820 -1.389 0.494
Ge 0.000 0.000 0.000
Mg 1.494 -1.554 1.137
```

Values from the calculation:
Calculated density (kg/m3): 3307
Energy relative to the elements (meV per atom): 1749
E (eV per atom): -5.188

Question: The lowest calculated density belongs to which entry?
Answer: MgCr2GeC